Entry 1:
# MgTaNiBi PBE optimized geometry
data_MgTaNiBi
_space_group_name_H-M_alt 'F -4 3 m'
_space_group_IT_number 216
_space_group_name_Hall 'F -4 2 3'
_cell_length_a 6.7262
_cell_length_b 6.7262
_cell_length_c 6.7262
_cell_angle_alpha 90.00
_cell_angle_beta 90.00
_cell_angle_gamma 90.00
loop_
_atom_site_label
_atom_site_type_symbol
_atom_site_fract_x
_atom_site_fract_y
_atom_site_fract_z
Mg1 Mg 0.0000 0.0000 0.0000
Ta1 Ta 0.2500 0.2500 0.7500
Ni1 Ni 0.0000 0.0000 0.5000
Bi1 Bi 0.2500 0.2500 0.2500
# - M_tot (μB/cell) = 5.696
# - E above lowest polymorph (meV per atom) = 62
# - electronic total energy (eV per atom) = -5.118

Entry 2:
# MgTcNiBi PBE optimized geometry
data_MgTcNiBi
_space_group_name_H-M_alt 'F -4 3 m'
_space_group_IT_number 216
_space_group_name_Hall 'F -4 2 3'
_cell_length_a 6.4520
_cell_length_b 6.4520
_cell_length_c 6.4520
_cell_angle_alpha 90.00
_cell_angle_beta 90.00
_cell_angle_gamma 90.00
loop_
_atom_site_label
_atom_site_type_symbol
_atom_site_fract_x
_atom_site_fract_y
_atom_site_fract_z
Mg1 Mg 0.0000 0.0000 0.0000
Tc1 Tc 0.2500 0.2500 0.2500
Ni1 Ni 0.2500 0.2500 0.7500
Bi1 Bi 0.0000 0.0000 0.5000
# - M_tot (μB/cell) = 0.423
# - E above lowest polymorph (meV per atom) = 0
# - electronic total energy (eV per atom) = -5.091

Entry 3:
# YMgNiBi PBE optimized geometry
data_YMgNiBi
_space_group_name_H-M_alt 'F -4 3 m'
_space_group_IT_number 216
_space_group_name_Hall 'F -4 2 3'
_cell_length_a 7.0177
_cell_length_b 7.0177
_cell_length_c 7.0177
_cell_angle_alpha 90.00
_cell_angle_beta 90.00
_cell_angle_gamma 90.00
loop_
_atom_site_label
_atom_site_type_symbol
_atom_site_fract_x
_atom_site_fract_y
_atom_site_fract_z
Y1 Y 0.0000 0.0000 0.0000
Mg1 Mg 0.2500 0.2500 0.2500
Ni1 Ni 0.2500 0.2500 0.7500
Bi1 Bi 0.0000 0.0000 0.5000
# - M_tot (μB/cell) = 0.008
# - electronic total energy (eV per atom) = -4.509

Entry 4:
# MgZnNiBi PBE optimized geometry
data_MgZnNiBi
_space_group_name_H-M_alt 'F -4 3 m'
_space_group_IT_number 216
_space_group_name_Hall 'F -4 2 3'
_cell_length_a 6.7045
_cell_length_b 6.7045
_cell_length_c 6.7045
_cell_angle_alpha 90.00
_cell_angle_beta 90.00
_cell_angle_gamma 90.00
loop_
_atom_site_label
_atom_site_type_symbol
_atom_site_fract_x
_atom_site_fract_y
_atom_site_fract_z
Mg1 Mg 0.0000 0.0000 0.0000
Zn1 Zn 0.2500 0.2500 0.2500
Ni1 Ni 0.0000 0.0000 0.5000
Bi1 Bi 0.2500 0.2500 0.7500
# - M_tot (μB/cell) = 0.001
# - E above lowest polymorph (meV per atom) = 4
# - electronic total energy (eV per atom) = -2.975

Entry 5:
# MgZnNiBi PBE optimized geometry
data_MgZnNiBi
_space_group_name_H-M_alt 'F -4 3 m'
_space_group_IT_number 216
_space_group_name_Hall 'F -4 2 3'
_cell_length_a 6.7242
_cell_length_b 6.7242
_cell_length_c 6.7242
_cell_angle_alpha 90.00
_cell_angle_beta 90.00
_cell_angle_gamma 90.00
loop_
_atom_site_label
_atom_site_type_symbol
_atom_site_fract_x
_atom_site_fract_y
_atom_site_fract_z
Mg1 Mg 0.0000 0.0000 0.0000
Zn1 Zn 0.2500 0.2500 0.7500
Ni1 Ni 0.2500 0.2500 0.2500
Bi1 Bi 0.0000 0.0000 0.5000
# - M_tot (μB/cell) = 0.003
# - E above lowest polymorph (meV per atom) = 0
# - electronic total energy (eV per atom) = -2.979

Entry 6:
# MgZrNiBi PBE optimized geometry
data_MgZrNiBi
_space_group_name_H-M_alt 'F -4 3 m'
_space_group_IT_number 216
_space_group_name_Hall 'F -4 2 3'
_cell_length_a 6.8505
_cell_length_b 6.8505
_cell_length_c 6.8505
_cell_angle_alpha 90.00
_cell_angle_beta 90.00
_cell_angle_gamma 90.00
loop_
_atom_site_label
_atom_site_type_symbol
_atom_site_fract_x
_atom_site_fract_y
_atom_site_fract_z
Mg1 Mg 0.0000 0.0000 0.0000
Zr1 Zr 0.2500 0.2500 0.7500
Ni1 Ni 0.0000 0.0000 0.5000
Bi1 Bi 0.2500 0.2500 0.2500
# - M_tot (μB/cell) = 0.002
# - electronic total energy (eV per atom) = -4.762

Entry 7:
# MgNpBi PBE optimized geometry
data_MgNpBi
_space_group_name_H-M_alt 'F -4 3 m'
_space_group_IT_number 216
_space_group_name_Hall 'F -4 2 3'
_cell_length_a 7.0352
_cell_length_b 7.0352
_cell_length_c 7.0352
_cell_angle_alpha 90.00
_cell_angle_beta 90.00
_cell_angle_gamma 90.00
loop_
_atom_site_label
_atom_site_type_symbol
_atom_site_fract_x
_atom_site_fract_y
_atom_site_fract_z
Mg1 Mg 0.0000 0.0000 0.0000
Np1 Np 0.2500 0.2500 0.2500
Bi1 Bi 0.2500 0.2500 0.7500
# - M_tot (μB/cell) = 21.172
# - electronic total energy (eV per atom) = -5.706

Entry 8:
# Mg2BiOsO6 PBE optimized geometry
data_Mg2BiOsO6
_space_group_name_H-M_alt 'C m c m'
_space_group_IT_number 63
_space_group_name_Hall '-C 2c 2'
_cell_length_a 7.9889
_cell_length_b 11.3194
_cell_length_c 5.7133
_cell_angle_alpha 90.00
_cell_angle_beta 90.00
_cell_angle_gamma 90.00
loop_
_atom_site_label
_atom_site_type_symbol
_atom_site_fract_x
_atom_site_fract_y
_atom_site_fract_z
Mg1 Mg 0.2031 0.0927 0.2500
Bi1 Bi 0.0000 0.3966 0.2500
Os1 Os 0.0000 0.1881 0.7500
O1 O 0.0000 0.1307 0.0486
O2 O 0.1711 0.5000 0.0000
O3 O 0.2168 0.2407 0.7500
# - M_tot (μB/cell) = 4.004
# - electronic total energy (eV per atom) = -6.396

Entry 9:
# MgBiOs PBE optimized geometry
data_MgBiOs
_space_group_name_H-M_alt 'F -4 3 m'
_space_group_IT_number 216
_space_group_name_Hall 'F -4 2 3'
_cell_length_a 6.4317
_cell_length_b 6.4317
_cell_length_c 6.4317
_cell_angle_alpha 90.00
_cell_angle_beta 90.00
_cell_angle_gamma 90.00
loop_
_atom_site_label
_atom_site_type_symbol
_atom_site_fract_x
_atom_site_fract_y
_atom_site_fract_z
Mg1 Mg 0.0000 0.0000 0.0000
Bi1 Bi 0.0000 0.0000 0.5000
Os1 Os 0.2500 0.2500 0.7500
# - M_tot (μB/cell) = 0.011
# - E above lowest polymorph (meV per atom) = 0
# - electronic total energy (eV per atom) = -5.198

Entry 10:
# MgScBiOs PBE optimized geometry
data_MgScBiOs
_space_group_name_H-M_alt 'F -4 3 m'
_space_group_IT_number 216
_space_group_name_Hall 'F -4 2 3'
_cell_length_a 6.7554
_cell_length_b 6.7554
_cell_length_c 6.7554
_cell_angle_alpha 90.00
_cell_angle_beta 90.00
_cell_angle_gamma 90.00
loop_
_atom_site_label
_atom_site_type_symbol
_atom_site_fract_x
_atom_site_fract_y
_atom_site_fract_z
Mg1 Mg 0.0000 0.0000 0.0000
Sc1 Sc 0.2500 0.2500 0.7500
Bi1 Bi 0.2500 0.2500 0.2500
Os1 Os 0.0000 0.0000 0.5000
# - M_tot (μB/cell) = 0.013
# - E above lowest polymorph (meV per atom) = 0
# - electronic total energy (eV per atom) = -5.732

Entry 11:
# MgScBiOs PBE optimized geometry
data_MgScBiOs
_space_group_name_H-M_alt 'F -4 3 m'
_space_group_IT_number 216
_space_group_name_Hall 'F -4 2 3'
_cell_length_a 6.7999
_cell_length_b 6.7999
_cell_length_c 6.7999
_cell_angle_alpha 90.00
_cell_angle_beta 90.00
_cell_angle_gamma 90.00
loop_
_atom_site_label
_atom_site_type_symbol
_atom_site_fract_x
_atom_site_fract_y
_atom_site_fract_z
Mg1 Mg 0.0000 0.0000 0.0000
Sc1 Sc 0.0000 0.0000 0.5000
Bi1 Bi 0.2500 0.2500 0.7500
Os1 Os 0.2500 0.2500 0.2500
# - M_tot (μB/cell) = 0.005
# - E above lowest polymorph (meV per atom) = 28
# - electronic total energy (eV per atom) = -5.704

Entry 12:
# MgPaBi PBE optimized geometry
data_MgPaBi
_space_group_name_H-M_alt 'F -4 3 m'
_space_group_IT_number 216
_space_group_name_Hall 'F -4 2 3'
_cell_length_a 7.3825
_cell_length_b 7.3825
_cell_length_c 7.3825
_cell_angle_alpha 90.00
_cell_angle_beta 90.00
_cell_angle_gamma 90.00
loop_
_atom_site_label
_atom_site_type_symbol
_atom_site_fract_x
_atom_site_fract_y
_atom_site_fract_z
Mg1 Mg 0.0000 0.0000 0.0000
Pa1 Pa 0.2500 0.2500 0.7500
Bi1 Bi 0.0000 0.0000 0.5000
# - M_tot (μB/cell) = 7.635
# - E above lowest polymorph (meV per atom) = 8
# - electronic total energy (eV per atom) = -4.506

Entry 13:
# MgPaBi PBE optimized geometry
data_MgPaBi
_space_group_name_H-M_alt 'F -4 3 m'
_space_group_IT_number 216
_space_group_name_Hall 'F -4 2 3'
_cell_length_a 7.2641
_cell_length_b 7.2641
_cell_length_c 7.2641
_cell_angle_alpha 90.00
_cell_angle_beta 90.00
_cell_angle_gamma 90.00
loop_
_atom_site_label
_atom_site_type_symbol
_atom_site_fract_x
_atom_site_fract_y
_atom_site_fract_z
Mg1 Mg 0.0000 0.0000 0.0000
Pa1 Pa 0.0000 0.0000 0.5000
Bi1 Bi 0.2500 0.2500 0.2500
# - M_tot (μB/cell) = 8.209
# - E above lowest polymorph (meV per atom) = 0
# - electronic total energy (eV per atom) = -4.514

Entry 14:
# MgReBiPb PBE optimized geometry
data_MgReBiPb
_space_group_name_H-M_alt 'F -4 3 m'
_space_group_IT_number 216
_space_group_name_Hall 'F -4 2 3'
_cell_length_a 6.9932
_cell_length_b 6.9932
_cell_length_c 6.9932
_cell_angle_alpha 90.00
_cell_angle_beta 90.00
_cell_angle_gamma 90.00
loop_
_atom_site_label
_atom_site_type_symbol
_atom_site_fract_x
_atom_site_fract_y
_atom_site_fract_z
Mg1 Mg 0.0000 0.0000 0.0000
Re1 Re 0.0000 0.0000 0.5000
Bi1 Bi 0.2500 0.2500 0.7500
Pb1 Pb 0.2500 0.2500 0.2500
# - M_tot (μB/cell) = 0.014
# - E above lowest polymorph (meV per atom) = 0
# - electronic total energy (eV per atom) = -4.757